# 1
Density functional theory data (GGA-PBE) for a relaxed structure of SbIr2Se.

a = 7.5301 Å, b = 7.5301 Å, c = 7.5301 Å
α = 28.49°, β = 28.49°, γ = 28.49°
Last column: nearest neighbours and their distance in Å.
Element x y z (fractional)
Ir  0.0055  0.0055  0.0055  3 Se 2.40
Ir  0.2517  0.2517  0.2517  3 Sb 2.56, 3 Ir 2.85
Sb  0.5205  0.5205  0.5205  3 Ir 2.56
Se  0.7223  0.7223  0.7223  3 Ir 2.40

## Properties
As for the symmetry: R3m (160). The value obtained for the total energy is -6.131 eV/atom. As for the density of states at the Fermi level: 0.5447 states/eV/atom. For the density, the calculation gives 11.32 g/cm3. The value obtained for the uncorrected formation energy is 0.2012 eV/atom. Its crystal system is trigonal.

# 2
Density functional theory data (GGA-PBE) for a relaxed structure of SbIr2Se.

a = 3.1375 Å, b = 3.5468 Å, c = 6.2230 Å
α = 90.00°, β = 90.00°, γ = 90.00°
Last column: nearest neighbours and their distance in Å.
Element x y z (fractional)
Ir  0.0000  0.0000  0.9826  4 Se 2.78, 4 Sb 2.89, 1 Ir 2.90
Ir  0.0000  0.0000  0.5174  4 Se 2.78, 4 Sb 2.89, 1 Ir 2.90
Sb  0.5000  0.5000  0.2500  8 Ir 2.89, 2 Se 3.11, 2 Sb 3.14
Se  0.5000  0.5000  0.7500  8 Ir 2.78

## Properties
As for the symmetry: Pmmm (47). The value obtained for the total energy is -5.914 eV/atom. As for the density of states at the Fermi level: 0.9504 states/eV/atom. For the density, the calculation gives 14.03 g/cm3. The value obtained for the uncorrected formation energy is 0.4186 eV/atom. Its crystal system is orthorhombic.

# 3
Density functional theory data (GGA-PBE) for a relaxed structure of SbIr2Se.

a = 8.1393 Å, b = 8.1393 Å, c = 8.1393 Å
α = 22.76°, β = 22.76°, γ = 22.76°
Last column: nearest neighbours and their distance in Å.
Element x y z (fractional)
Ir  0.0005  0.0005  0.0005  3 Se 2.70, 3 Sb 2.72
Ir  0.4995  0.4995  0.4995  3 Se 2.70, 3 Sb 2.72
Sb  0.2500  0.2500  0.2500  6 Ir 2.72
Se  0.7500  0.7500  0.7500  6 Ir 2.70

## Properties
As for the symmetry: R-3m (166). The value obtained for the total energy is -6.013 eV/atom. As for the density of states at the Fermi level: 0.9083 states/eV/atom. For the density, the calculation gives 13.72 g/cm3. The value obtained for the uncorrected formation energy is 0.3191 eV/atom. Its crystal system is trigonal.

# 4
Density functional theory data (GGA-PBE) for a relaxed structure of SbIrSe.

a = 6.6154 Å, b = 6.6153 Å, c = 3.2246 Å
α = 75.89°, β = 75.89°, γ = 28.21°
Last column: nearest neighbours and their distance in Å.
Element x y z (fractional)
Ir  0.0106  0.0106  0.9894  4 Se 2.66, 4 Sb 2.88
Sb  0.3692  0.3692  0.6308  4 Ir 2.88, 1 Se 3.12
Se  0.6202  0.6202  0.3798  4 Ir 2.66

## Properties
As for the symmetry: I4mm (107). The value obtained for the total energy is -5.315 eV/atom. As for the density of states at the Fermi level: 0.4145 states/eV/atom. For the density, the calculation gives 10.11 g/cm3. The value obtained for the uncorrected formation energy is 0.1743 eV/atom. Its crystal system is tetragonal.

What did the second record say?
Density functional theory data (GGA-PBE) for a relaxed structure of SbIr2Se.

a = 3.1375 Å, b = 3.5468 Å, c = 6.2230 Å
α = 90.00°, β = 90.00°, γ = 90.00°
Last column: nearest neighbours and their distance in Å.
Element x y z (fractional)
Ir  0.0000  0.0000  0.9826  4 Se 2.78, 4 Sb 2.89, 1 Ir 2.90
Ir  0.0000  0.0000  0.5174  4 Se 2.78, 4 Sb 2.89, 1 Ir 2.90
Sb  0.5000  0.5000  0.2500  8 Ir 2.89, 2 Se 3.11, 2 Sb 3.14
Se  0.5000  0.5000  0.7500  8 Ir 2.78

## Properties
As for the symmetry: Pmmm (47). The value obtained for the total energy is -5.914 eV/atom. As for the density of states at the Fermi level: 0.9504 states/eV/atom. For the density, the calculation gives 14.03 g/cm3. The value obtained for the uncorrected formation energy is 0.4186 eV/atom. Its crystal system is orthorhombic.

Q: What is the formula in the fourth record?
A: SbIrSe

Q: Among the records above, which one has the highest density?
A: number 2